Record 1
Compound: GePdO
Source: Alexandria
Functional: PBE
Structure: optimized geometry

Computed properties:
E_form (uncorrected) (eV per atom): -0.304
Energy above the most stable polymorph in this dataset (meV per atom): 157
Crystal system: tetragonal

Cell lengths 3.666, 3.666, 4.243 Å; angles 115.60, 115.60, 90.00 degrees
Fractional coordinates of all 3 atoms:
Ge1 0.570 0.570 0.140
Pd1 0.977 0.977 0.955
O1 0.303 0.303 0.605

Record 2
Compound: ThCuSnRh
Source: Alexandria
Functional: PBE
Structure: optimized geometry

Computed properties:
Crystal system: cubic
ΔH_f (0 K) (meV per atom): -510

Cell lengths 4.855, 4.855, 4.855 Å; angles 60.00, 60.00, 60.00 degrees
Fractional coordinates of all 4 atoms:
Cu1 0.750 0.750 0.750
Rh1 0.250 0.250 0.250
Sn1 0.000 0.000 0.000
Th1 0.500 0.500 0.500

Record 3
Compound: MgFeNi2
Source: Alexandria
Functional: PBE
Structure: optimized geometry

Computed properties:
Crystal system: monoclinic
ΔH_f (0 K) (meV per atom): 63

Cell lengths 4.363, 4.363, 4.712 Å; angles 80.73, 80.73, 35.06 degrees
Fractional coordinates of all 4 atoms:
Fe1 0.750 0.750 0.750
Mg1 0.250 0.250 0.250
Ni1 0.007 0.007 0.977
Ni2 0.493 0.493 0.523

Record 4
Compound: YBO
Source: Alexandria
Functional: PBE
Structure: optimized geometry

Computed properties:
E_form (uncorrected) (eV per atom): -1.796
Energy above the most stable polymorph in this dataset (meV per atom): 79
Crystal system: monoclinic

Cell lengths 7.025, 3.254, 7.404 Å; angles 90.00, 98.57, 90.00 degrees
Fractional coordinates of all 12 atoms:
Y1 0.901 0.000 0.005
Y2 0.901 0.500 0.505
Y3 0.361 0.000 0.924
Y4 0.361 0.500 0.424
B1 0.708 0.000 0.684
B2 0.708 0.500 0.184
B3 0.624 0.000 0.226
B4 0.624 0.500 0.726
O1 0.134 0.000 0.465
O2 0.134 0.500 0.965
O3 0.411 0.000 0.233
O4 0.411 0.500 0.733

Record 5
Compound: BaSc2CrHg
Source: Alexandria
Functional: PBE
Structure: optimized geometry

Computed properties:
Crystal system: tetragonal
ΔH_f (0 K) (meV per atom): 493

Cell lengths 5.041, 5.941, 5.041 Å; angles 90.00, 90.00, 90.00 degrees
Fractional coordinates of all 5 atoms:
Sc1 0.000 0.000 0.500
Sc2 0.500 0.000 0.000
Cr1 0.000 0.000 0.000
Hg1 0.500 0.500 0.500
Ba1 0.000 0.500 0.000

Record 6
Compound: Al2CdAu9
Source: Alexandria
Functional: PBE
Structure: optimized geometry

Computed properties:
Crystal system: tetragonal
ΔH_f (0 K) (meV per atom): -124

Cell lengths 6.671, 8.866, 8.866 Å; angles 81.86, 67.90, 67.90 degrees
Fractional coordinates of all 24 atoms:
Al1 0.875 0.250 0.750
Al2 0.875 0.750 0.250
Al3 0.875 0.250 0.250
Al4 0.375 0.750 0.750
Cd1 0.500 0.000 0.000
Cd2 0.250 0.500 0.500
Au1 0.750 0.500 0.500
Au2 0.000 0.000 0.000
Au3 0.962 0.945 0.701
Au4 0.607 0.055 0.299
Au5 0.657 0.201 0.555
Au6 0.412 0.799 0.445
Au7 0.788 0.799 0.555
Au8 0.143 0.201 0.445
Au9 0.093 0.945 0.299
Au10 0.338 0.055 0.701
Au11 0.788 0.555 0.799
Au12 0.143 0.445 0.201
Au13 0.093 0.299 0.945
Au14 0.338 0.701 0.055
Au15 0.962 0.701 0.945
Au16 0.607 0.299 0.055
Au17 0.657 0.555 0.201
Au18 0.412 0.445 0.799

What did the fifth record say?
Compound: BaSc2CrHg
Source: Alexandria
Functional: PBE
Structure: optimized geometry

Computed properties:
Crystal system: tetragonal
ΔH_f (0 K) (meV per atom): 493

Cell lengths 5.041, 5.941, 5.041 Å; angles 90.00, 90.00, 90.00 degrees
Fractional coordinates of all 5 atoms:
Sc1 0.000 0.000 0.500
Sc2 0.500 0.000 0.000
Cr1 0.000 0.000 0.000
Hg1 0.500 0.500 0.500
Ba1 0.000 0.500 0.000

> What is the formula in the first record?

GePdO